Record 1
A plane-wave DFT calculation with SCAN was carried out for AlTe2Mo at its PBEsol-relaxed geometry.

The structure belongs to space group P4mm (No. 99); the cell edges are 3.362, 3.362 and 7.631 Å and the angles 90.00°, 90.00° and 90.00°. The distinct sites, in fractional coordinates, are Al at (0.000, 0.000, 0.000), Te at (0.000, 0.000, 0.377), Te at (0.500, 0.500, 0.795) and Mo at (0.500, 0.500, 0.168).

For the calculated volume, the calculation gives 86.3 Å³/cell. The value obtained for the total magnetic moment is 0.000 μB per formula unit. The uncorrected formation energy is -0.100 eV per atom.



Record 2
A plane-wave DFT calculation with SCAN was carried out for YAlTeMo2 at its PBEsol-relaxed geometry.

The structure belongs to space group P4/mmm (No. 123); the cell edges are 4.619, 4.619 and 5.209 Å and the angles 90.00°, 90.00° and 90.00°. The distinct sites, in fractional coordinates, are Y at (0.000, 0.000, 0.000), Al at (0.500, 0.500, 0.500), Te at (0.500, 0.500, 0.000) and Mo at (0.000, 0.500, 0.500).

For the calculated volume, the calculation gives 111.1 Å³/cell. The value obtained for the total magnetic moment is 0.003 μB per formula unit. The uncorrected formation energy is 0.982 eV per atom.



Record 3
A plane-wave DFT calculation with SCAN was carried out for Al2TlMo at its PBEsol-relaxed geometry.

The structure belongs to space group P4mm (No. 99); the cell edges are 2.863, 2.863 and 8.750 Å and the angles 90.00°, 90.00° and 90.00°. The distinct sites, in fractional coordinates, are Al at (0.000, 0.000, 0.000), Al at (0.500, 0.500, 0.229), Tl at (0.500, 0.500, 0.705) and Mo at (0.000, 0.000, 0.440).

For the calculated volume, the calculation gives 71.7 Å³/cell. The value obtained for the total magnetic moment is 0.000 μB per formula unit. Its energy above the most stable polymorph in this dataset is 3.13 kcal/mol of atoms. The energy of formation from the pure elements is 31.8 kJ per mole of atoms.



Record 4
A plane-wave DFT calculation with SCAN was carried out for AlTlMo2 at its PBEsol-relaxed geometry.

The structure belongs to space group Pmmm (No. 47); the cell edges are 3.329, 4.456 and 4.493 Å and the angles 90.00°, 90.00° and 90.00°. The distinct sites, in fractional coordinates, are Al at (0.000, 0.000, 0.000), Tl at (0.500, 0.000, 0.500), Mo at (0.000, 0.500, 0.500) and Mo at (0.500, 0.500, 0.000).

For the calculated volume, the calculation gives 66.6 Å³/cell. The value obtained for the total magnetic moment is 0.000 μB per formula unit. Its energy above the most stable polymorph in this dataset is 1.03 kcal/mol of atoms. The energy of formation from the pure elements is 38.9 kJ per mole of atoms.